No. 1
Entry from the Alexandria database: Te2Se2N after structural relaxation (GGA-PBE).

It has space group P4/mbm (No. 127), with a = 6.4222 Å, b = 6.4222 Å, c = 5.7629 Å, α = 90.00°, β = 90.00° and γ = 90.00°. The distinct sites, in fractional coordinates, are Te at (0.2250, 0.2750, 0.0000), Se at (0.1331, 0.3669, 0.5000) and N at (0.0000, 0.0000, 0.0000).

The offset from the most stable computed form is 0.000 eV/atom. For the formation energy without anion corrections, the calculation gives 0.683 eV per atom. As for the crystal system: tetragonal. The total energy is -3.632 eV/atom. The mass density is 5.97 g/cm3.

=====

No. 2
Entry from the Alexandria database: LaTaTc3 after structural relaxation (GGA-PBE).

It has space group Pm-3m (No. 221), with a = 4.6863 Å, b = 4.6863 Å, c = 4.6863 Å, α = 90.00°, β = 90.00° and γ = 90.00°. The distinct sites, in fractional coordinates, are La at (0.0000, 0.0000, 0.0000), Ta at (0.5000, 0.5000, 0.5000) and Tc at (0.0000, 0.0000, 0.5000).

As for the formation enthalpy at 0 K: 2.076 eV per atom. The offset from the most stable computed form is 1.130 eV/atom. As for the crystal system: cubic. The total energy is -7.499 eV/atom. The mass density is 9.90 g/cm3.

=====

No. 3
Entry from the Alexandria database: ZrAsI2N after structural relaxation (GGA-PBE).

It has space group P4/mmm (No. 123), with a = 5.9399 Å, b = 5.9399 Å, c = 3.9772 Å, α = 90.00°, β = 90.00° and γ = 90.00°. The distinct sites, in fractional coordinates, are Zr at (0.0000, 0.0000, 0.0000), As at (0.5000, 0.5000, 0.5000), I at (0.0000, 0.5000, 0.0000) and N at (0.0000, 0.0000, 0.5000).

The offset from the most stable computed form is 0.000 eV/atom. For the formation energy without anion corrections, the calculation gives 0.226 eV per atom. As for the crystal system: tetragonal. The total energy is -4.699 eV/atom. The mass density is 5.14 g/cm3.

=====

No. 4
Entry from the Alexandria database: PrNd4Tl2 after structural relaxation (GGA-PBE).

It has space group R-3m (No. 166, hexagonal axes), with a = 5.2800 Å, b = 5.2800 Å, c = 32.0187 Å, α = 90.00°, β = 90.00° and γ = 120.00°. The distinct sites, in fractional coordinates, are Pr at (0.0000, 0.0000, 0.0000), Nd at (0.0000, 0.0000, 0.2043), Nd at (0.0000, 0.0000, 0.3898) and Tl at (0.0000, 0.0000, 0.1004).

As for the formation enthalpy at 0 K: 0.065 eV per atom. The offset from the most stable computed form is 0.055 eV/atom. As for the crystal system: trigonal. The total energy is -4.018 eV/atom. The mass density is 7.26 g/cm3.

=====

No. 5
Entry from the Alexandria database: FePOs2Au after structural relaxation (GGA-PBE).

It has space group Cm (No. 8), with a = 9.1937 Å, b = 2.8192 Å, c = 5.7608 Å, α = 90.00°, β = 92.87° and γ = 90.00°. The distinct sites, in fractional coordinates, are Fe at (0.0000, 0.0000, 0.0000), P at (0.3929, 0.5000, 0.3462), Os at (0.0264, 0.5000, 0.6143), Os at (0.1823, 0.0000, 0.3242) and Au at (0.2661, 0.0000, 0.8491).

As for the formation enthalpy at 0 K: 0.246 eV per atom. The offset from the most stable computed form is 0.167 eV/atom. As for the crystal system: monoclinic. The total energy is -7.675 eV/atom. The mass density is 14.79 g/cm3.

=====

No. 6
Entry from the Alexandria database: In3SnIr3 after structural relaxation (GGA-PBE).

It has space group P2_13 (No. 198), with a = 8.2493 Å, b = 8.2493 Å, c = 8.2493 Å, α = 90.00°, β = 90.00° and γ = 90.00°. The distinct sites, in fractional coordinates, are In at (0.0101, 0.4899, 0.5101), In at (0.1844, 0.1844, 0.1844), In at (0.1848, 0.8152, 0.3152), Sn at (0.0169, 0.5169, 0.9831) and Ir at (0.9996, 0.2561, 0.7491).

As for the formation enthalpy at 0 K: 0.103 eV per atom. As for the crystal system: cubic. The total energy is -5.440 eV/atom. The mass density is 12.30 g/cm3.

=====

No. 7
Entry from the Alexandria database: Pm2ErOs after structural relaxation (GGA-PBE).

It has space group R-3m (No. 166, hexagonal axes), with a = 3.5407 Å, b = 3.5407 Å, c = 32.6114 Å, α = 90.00°, β = 90.00° and γ = 120.00°. The distinct sites, in fractional coordinates, are Pm at (0.0000, 0.0000, 0.1053), Er at (0.0000, 0.0000, 0.0000) and Os at (0.0000, 0.0000, 0.5000).

As for the formation enthalpy at 0 K: 0.378 eV per atom. The offset from the most stable computed form is 0.553 eV/atom. As for the crystal system: trigonal. The total energy is -5.946 eV/atom. The mass density is 9.11 g/cm3.

=====

No. 8
Entry from the Alexandria database: NbZnAu4 after structural relaxation (GGA-PBE).

It has space group P4/mmm (No. 123), with a = 3.0024 Å, b = 3.0024 Å, c = 11.5878 Å, α = 90.00°, β = 90.00° and γ = 90.00°. The distinct sites, in fractional coordinates, are Nb at (0.0000, 0.0000, 0.0000), Zn at (0.5000, 0.5000, 0.5000), Au at (0.0000, 0.0000, 0.3497) and Au at (0.5000, 0.5000, 0.1678).

As for the formation enthalpy at 0 K: -0.137 eV per atom. As for the crystal system: tetragonal. The total energy is -4.213 eV/atom. The mass density is 15.04 g/cm3.

=====

Look up the total energy of the second one. -7.499 eV/atom